Computed, not measured: Zn3Br2 after structural relaxation at the PBEsol level of DFT.

Results
* electronic total energy: -1.799 eV per atom
* ΔE_f (raw): -0.10 eV per atom
* space-group type: No. 164

Structure (POSCAR):
```
Zn3Br2
1.0
3.778 0.000 0.000
-1.889 3.272 0.000
0.000 0.000 8.939
Zn Br
3 2
Direct
0.000 0.000 0.000
0.333 0.667 0.434
0.667 0.333 0.566
0.333 0.667 0.827
0.667 0.333 0.173
```